First-principles (GGA-PBE) data for a relaxed structure of GdTmIn3Si2, as listed in OQMD.

a b c (Å): 5.7308 5.7308 6.9858
angles (deg): 99.15 99.15 43.78
With the nearest neighbours (Å) after each atom.
Sites, in units of the cell vectors:
In  0.3049  0.3049  0.6493  2 Si 2.80, 2 In 3.08
In  0.6957  0.6957  0.3491  2 Si 2.78, 2 In 3.08
In  0.9989  0.9989  0.4976  2 Si 2.98-3.03, 6 In 3.21-3.28, 2 Tm 3.24, 2 Gd 3.26
Si  0.0934  0.0934  0.1201  1 Si 2.34
Si  0.9073  0.9073  0.8854  1 Si 2.34
Gd  0.6209  0.6209  0.8314  5 Si 2.99-3.19, 4 In 3.26-3.30
Tm  0.3787  0.3787  0.1671  5 Si 2.96-3.19, 4 In 3.24-3.29



First-principles (GGA-PBE) data for a relaxed structure of Zr3ScC3, as listed in OQMD.

a b c (Å): 3.7016 3.7016 18.4327
angles (deg): 90.00 90.00 120.00
With the nearest neighbours (Å) after each atom.
Sites, in units of the cell vectors:
Zr  0.6667  0.3333  0.2500  3 C 2.14
Zr  0.6667  0.3333  0.6238  4 C 2.30-2.33
Zr  0.3333  0.6667  0.1238  4 C 2.30-2.33
Zr  0.3333  0.6667  0.7500  3 C 2.14
Zr  0.3333  0.6667  0.3762  4 C 2.30-2.33
Zr  0.6667  0.3333  0.8762  4 C 2.30-2.33
C  0.3333  0.6667  0.9220  3 Zr 2.30
C  0.3333  0.6667  0.2500  5 Zr 2.14-2.33
C  0.6667  0.3333  0.7500  5 Zr 2.14-2.33
C  0.6667  0.3333  0.4220  3 Zr 2.30
C  0.6667  0.3333  0.0780  3 Zr 2.30
C  0.3333  0.6667  0.5780  3 Zr 2.30
Sc  0.0000  0.0000  0.5000  6 C 2.58
Sc  0.0000  0.0000  0.0000  6 C 2.58



First-principles (GGA-PBE) data for a relaxed structure of KScOs, as listed in OQMD.

- energy relative to the lowest polymorph listed for this composition (eV per formula unit) = 2.83

a b c (Å): 4.6306 4.6306 4.6306
angles (deg): 60.00 60.00 60.00
With the nearest neighbours (Å) after each atom.
Sites, in units of the cell vectors:
Sc  0.7500  0.7500  0.7500  4 K 2.84
Os  0.2500  0.2500  0.2500  4 K 2.84
K  0.0000  0.0000  0.0000  4 Sc 2.84, 4 Os 2.84



First-principles (GGA-PBE) data for a relaxed structure of TbCdCuTe3, as listed in OQMD.

- energy relative to the lowest polymorph listed for this composition (eV per formula unit) = 0.00

a b c (Å): 8.4219 4.1835 10.0299
angles (deg): 90.00 102.35 90.00
With the nearest neighbours (Å) after each atom.
Sites, in units of the cell vectors:
Cu  0.9264  0.7500  0.4202  4 Te 2.68-2.72, 2 Cu 2.76
Cu  0.0736  0.2500  0.5798  4 Te 2.68-2.72, 2 Cu 2.76
Tb  0.3135  0.7500  0.8319  6 Te 3.05-3.16
Tb  0.6865  0.2500  0.1681  6 Te 3.05-3.16
Te  0.2518  0.7500  0.5192  3 Cu 2.71-2.72
Te  0.4086  0.7500  0.1539  3 Tb 3.12-3.16, 2 Cd 3.14
Te  0.0534  0.2500  0.8425  1 Cu 2.68
Te  0.7482  0.2500  0.4808  3 Cu 2.71-2.72
Te  0.5914  0.2500  0.8461  3 Tb 3.12-3.16, 2 Cd 3.14
Te  0.9466  0.7500  0.1575  1 Cu 2.68
Cd  0.2141  0.2500  0.2886  6 Te 3.08-3.15, 1 Cu 3.38
Cd  0.7859  0.7500  0.7114  6 Te 3.08-3.15, 1 Cu 3.38



First-principles (GGA-PBE) data for a relaxed structure of Ta2Zn2O5, as listed in OQMD.

a b c (Å): 8.9300 3.4452 3.4452
angles (deg): 90.00 90.00 90.00
With the nearest neighbours (Å) after each atom.
Sites, in units of the cell vectors:
O  0.1346  0.5000  0.0000  2 Zn 2.04, 2 Ta 2.10
O  0.5000  0.5000  0.5000  2 Zn 2.17
O  0.1346  0.0000  0.5000  2 Zn 2.04, 2 Ta 2.10
O  0.8654  0.5000  0.0000  2 Zn 2.04, 2 Ta 2.10
O  0.8654  0.0000  0.5000  2 Zn 2.04, 2 Ta 2.10
Zn  0.2567  0.5000  0.5000  5 O 2.04-2.17
Zn  0.7433  0.5000  0.5000  5 O 2.04-2.17
Ta  0.0000  0.0000  0.0000  8 O 2.10
Ta  0.5000  0.0000  0.0000  4 O 2.44



First-principles (GGA-PBE) data for a relaxed structure of DyEr2Sn3Pd3, as listed in OQMD.

a b c (Å): 3.8542 7.6383 7.6383
angles (deg): 120.10 90.00 90.00
With the nearest neighbours (Å) after each atom.
Sites, in units of the cell vectors:
Pd  0.5000  0.6672  0.3317  3 Sn 2.83-2.86, 4 Er 3.02, 2 Dy 3.03
Pd  0.0000  0.0012  0.0012  6 Sn 2.78-2.79, 2 Er 3.06, 1 Dy 3.07
Pd  0.5000  0.3317  0.6672  3 Sn 2.83-2.86, 4 Er 3.02, 2 Dy 3.03
Sn  0.5000  0.2636  0.2636  4 Pd 2.78-2.86
Sn  0.5000  0.7366  0.0003  4 Pd 2.79-2.85
Sn  0.5000  0.0003  0.7366  4 Pd 2.79-2.85
Er  0.0000  0.4014  0.9999  5 Pd 3.02-3.06, 6 Sn 3.20-3.32
Er  0.0000  0.9999  0.4014  5 Pd 3.02-3.06, 6 Sn 3.20-3.32
Dy  0.0000  0.5981  0.5981  5 Pd 3.03-3.07, 6 Sn 3.20-3.32



First-principles (GGA-PBE) data for a relaxed structure of BaNaTcAgS4, as listed in OQMD.

a b c (Å): 6.3708 6.3708 7.0909
angles (deg): 123.81 123.81 76.19
With the nearest neighbours (Å) after each atom.
Sites, in units of the cell vectors:
Tc  0.5000  0.5000  0.5000  4 S 2.25
Na  0.2506  0.7494  0.0000  4 S 2.79-2.80
Ba  0.0000  0.0000  0.5000  8 S 3.28-3.38
S  0.4828  0.1671  0.1266  1 Tc 2.25
S  0.8329  0.5172  0.8734  1 Tc 2.25
S  0.1437  0.4595  0.4766  1 Tc 2.25
S  0.5405  0.8563  0.5234  1 Tc 2.25
Ag  0.7494  0.2506  0.0000  4 S 2.58



First-principles (GGA-PBE) data for a relaxed structure of Sc2Ir, as listed in OQMD.

- E_form (eV per atom) = 0.823

a b c (Å): 7.9505 7.9505 7.9505
angles (deg): 60.00 60.00 60.00
With the nearest neighbours (Å) after each atom.
Sites, in units of the cell vectors:
Sc  0.3750  0.3750  0.3750  2 Ir 2.43
Sc  0.3750  0.8750  0.3750  2 Ir 2.43
Sc  0.8750  0.3750  0.3750  2 Ir 2.43
Sc  0.3750  0.3750  0.8750  2 Ir 2.43
Ir  0.2500  0.2500  0.2500  4 Sc 2.43
Ir  0.5000  0.5000  0.5000  4 Sc 2.43



| no. | E_tot (eV/atom) | magnetic moment (μB per atom) |
| --- | --- | --- |
| 1 | -4.44 | 0.000 |
| 2 | -8.85 | 0.053 |
| 3 | -4.13 | 0.010 |
| 4 | -3.74 | 0.000 |
| 5 | -6.86 | 0.260 |
| 6 | -5.52 | 0.000 |
| 7 | -4.92 | 0.088 |
| 8 | -6.35 | 0.012 |